A plane-wave DFT calculation with GGA-PBE was carried out for CaAl3Tl after structural relaxation.

Geometry as POSCAR:
```
CaAl3Tl
1.0
5.340 0.000 0.000
0.000 5.340 0.000
0.000 0.000 5.340
Al Tl Ca
3 1 1
Direct
0.500 0.000 0.000
0.000 0.000 0.500
0.000 0.500 0.000
0.000 0.000 0.000
0.500 0.500 0.500
```

Values from the calculation:
**V**: 152 Å³/f.u.
**Total magnetization**: 0.00 μB/atom
**Energy of formation from the pure elements**: 0.6126 eV/atom